No. 1
Here is crystalline YHPd2Pt at its relaxed geometry from Alexandria via LeMat-Bulk. Energies are from PBE.

Results
Its magnetization is 0.00 μB/atom. The polymorph energy (0 for the lowest one) comes out at 25 meV/atom. Its density of states at the Fermi level is 1.72 states/eV/f.u. Its space-group type is P4/mmm, No. 123. The raw total energy comes out at -5.947 eV/atom.

a b c (Å): 4.045 4.045 4.483
angles (deg): 90.00 90.00 90.00
Atoms (fractional coordinates):
Pt (0.500, 0.500, 0.500)
Pd (0.000, 0.500, 0.000)
H (0.000, 0.000, 0.000)
Pd (0.500, 0.000, 0.000)
Y (0.000, 0.000, 0.500)

---

No. 2
Here is crystalline Er7C2I12N at its relaxed geometry from Alexandria via LeMat-Bulk. Energies are from PBE.

Results
Its magnetization is 0.00 μB/atom. The calculation puts the uncorrected formation energy at -28.60 eV per formula unit. Its space-group type is P-1, No. 2. The raw total energy comes out at -4.814 eV/atom.

a b c (Å): 9.865 10.913 16.911
angles (deg): 101.79 92.76 112.79
Atoms (fractional coordinates):
I (0.899, 0.431, 0.872)
Er (0.551, 0.263, 0.192)
I (0.656, 0.009, 0.907)
Er (0.641, 0.457, 0.481)
Er (0.340, 0.455, 0.116)
I (0.393, 0.599, 0.950)
I (0.274, 0.698, 0.390)
C (0.369, 0.327, 0.217)
Er (0.068, 0.432, 0.264)
N (0.557, 0.547, 0.584)
C (0.248, 0.367, 0.235)
I (0.209, 0.471, 0.688)
Er (0.359, 0.543, 0.519)
I (0.562, 0.736, 0.198)
I (0.703, 0.803, 0.470)
C (0.631, 0.673, 0.783)
I (0.054, 0.964, 0.269)
Er (0.449, 0.737, 0.808)
I (0.438, 0.264, 0.802)
I (0.968, 0.673, 0.577)
I (0.791, 0.529, 0.312)
I (0.170, 0.836, 0.834)
Er (0.932, 0.568, 0.736)
I (0.454, 0.839, 0.649)
I (0.546, 0.161, 0.351)
I (0.344, 0.991, 0.093)
Er (0.860, 0.867, 0.853)
I (0.297, 0.197, 0.530)
I (0.101, 0.569, 0.128)
Er (0.286, 0.253, 0.350)
Er (0.660, 0.545, 0.884)
I (0.946, 0.036, 0.731)
I (0.607, 0.401, 0.050)
Er (0.714, 0.747, 0.650)
I (0.032, 0.327, 0.423)
I (0.127, 0.203, 0.985)
Er (0.518, 0.438, 0.679)
Er (0.140, 0.133, 0.147)
N (0.443, 0.453, 0.416)
I (0.726, 0.302, 0.610)
I (0.830, 0.164, 0.166)
C (0.752, 0.633, 0.765)
Er (0.482, 0.562, 0.321)
I (0.873, 0.797, 0.015)

---

No. 3
Here is crystalline Li2TeI4 at its relaxed geometry from Alexandria via LeMat-Bulk. Energies are from PBE.

Results
Its magnetization is 0.00 μB/atom. The calculation puts the uncorrected formation energy at -3.84 eV per formula unit. Its space-group type is I-42m, No. 121. The raw total energy comes out at -2.430 eV/atom.

a b c (Å): 7.717 7.717 6.906
angles (deg): 123.97 123.97 90.00
Atoms (fractional coordinates):
I (0.320, 0.853, 0.173)
Te (0.500, 0.500, 0.000)
I (0.680, 0.680, 0.827)
I (0.853, 0.320, 0.173)
I (0.147, 0.147, 0.827)
Li (0.250, 0.750, 0.500)
Li (0.750, 0.250, 0.500)

---

No. 4
Here is crystalline BTe2Mo at its relaxed geometry from Alexandria via LeMat-Bulk. Energies are from PBE.

Results
Its magnetization is 0.00 μB/atom. Its density of states at the Fermi level is 3.93 states/eV/f.u. The calculation puts the uncorrected formation energy at 3.86 eV per formula unit. Its space-group type is R-3m, No. 166. The raw total energy comes out at -4.982 eV/atom.

a b c (Å): 8.000 8.000 8.000
angles (deg): 26.31 26.31 26.31
Atoms (fractional coordinates):
Te (0.910, 0.910, 0.910)
Te (0.090, 0.090, 0.090)
B (0.000, 0.000, 0.000)
Mo (0.500, 0.500, 0.500)